## a
VASP calculation (PBE) on a geometry-optimized In2PPb structure.

Geometry as POSCAR:
```
In2PPb
1.0
6.135 -0.012 -0.005
-3.005 5.348 -0.005
0.535 0.913 3.100
In P Pb
2 1 1
Cartesian
1.565 2.668 -0.005
0.000 0.000 0.000
3.335 0.450 1.547
-1.235 3.131 1.547
```

Results
crystal system = monoclinic
calculated density = 7.64 g/cm³
space-group type = C2/m


## b
VASP calculation (PBE) on a geometry-optimized In2PPb structure.

Geometry as POSCAR:
```
In2PPb
1.0
-0.475 -3.121 -1.379
3.048 1.143 -1.128
4.133 -3.845 7.276
Pb In P
1 2 1
Cartesian
4.222 -3.720 3.914
0.066 -0.062 0.117
2.482 -2.102 0.851
2.003 -1.863 3.526
```

Results
crystal system = orthorhombic
calculated density = 7.43 g/cm³
space-group type = Cmm2


## c
VASP calculation (PBE) on a geometry-optimized In2PPb structure.

Geometry as POSCAR:
```
In2PPb
1.0
5.771 -0.001 0.000
2.056 5.393 0.000
-3.914 -2.696 3.275
P Pb In
1 1 2
Cartesian
3.914 2.696 0.000
2.886 0.000 1.637
1.028 2.696 1.637
0.000 0.000 0.000
```

Results
crystal system = tetragonal
calculated density = 7.62 g/cm³
space-group type = I-4m2


Stability, lowest: a


## a
VASP calculation (PBE) on a geometry-optimized InP2Pb2 structure.

Geometry as POSCAR:
```
InP2Pb2
1.0
6.028 -0.342 -1.755
2.794 5.298 1.911
-3.557 -4.101 3.172
P Pb In
2 2 1
Cartesian
3.441 -0.983 0.748
1.824 1.838 2.581
3.034 1.705 0.054
5.788 3.251 0.102
0.000 0.000 0.000
```

Results
crystal system = tetragonal
calculated density = 6.96 g/cm³
space-group type = I4/mmm


## b
VASP calculation (PBE) on a geometry-optimized InP2Pb2 structure.

Geometry as POSCAR:
```
InP2Pb2
1.0
7.866 0.000 0.000
0.000 7.866 0.000
0.000 0.000 4.083
P Pb In
4 4 2
Cartesian
6.477 5.322 0.000
2.544 6.477 0.000
5.322 1.389 0.000
1.389 2.544 0.000
6.714 2.781 2.041
1.152 5.085 2.041
5.085 6.714 2.041
2.781 1.152 2.041
3.933 3.933 0.000
0.000 0.000 0.000
```

Results
crystal system = tetragonal
calculated density = 7.77 g/cm³
space-group type = P4/mbm


Stability, lowest: a


## a
VASP calculation (PBE) on a geometry-optimized InP2Pb structure.

Geometry as POSCAR:
```
InP2Pb
1.0
4.010 0.000 0.000
0.000 4.980 -0.014
0.000 1.363 5.000
P In Pb
2 1 1
Cartesian
0.000 2.986 2.941
0.000 1.548 4.552
2.005 4.757 3.739
2.005 1.586 1.246
```

Results
crystal system = monoclinic
calculated density = 6.38 g/cm³
space-group type = P2/m


## b
VASP calculation (PBE) on a geometry-optimized InP2Pb structure.

Geometry as POSCAR:
```
InP2Pb
1.0
4.015 0.000 0.000
0.000 4.013 0.000
0.000 0.000 5.629
P Pb In
2 1 1
Cartesian
0.000 0.000 4.926
2.008 2.007 2.110
0.000 0.000 2.112
2.008 2.007 4.925
```

Results
crystal system = tetragonal
calculated density = 7.03 g/cm³
space-group type = P4/mmm


## c
VASP calculation (PBE) on a geometry-optimized InP2Pb structure.

Geometry as POSCAR:
```
InP2Pb
1.0
0.000 3.519 3.519
3.519 0.000 3.519
3.519 3.519 0.000
P In Pb
2 1 1
Cartesian
1.760 1.760 1.760
5.279 5.279 5.279
0.000 0.000 0.000
3.519 3.519 3.519
```

Results
crystal system = cubic
calculated density = 7.31 g/cm³
space-group type = Fm-3m


## d
VASP calculation (PBE) on a geometry-optimized InP2Pb structure.

Geometry as POSCAR:
```
InP2Pb
1.0
-3.396 2.660 -4.691
-6.348 0.284 -0.480
4.877 0.993 3.980
P In Pb
2 1 1
Cartesian
0.000 0.000 0.000
-3.172 1.375 0.457
-1.695 2.563 -1.648
-4.872 1.472 -2.586
```

Results
crystal system = tetragonal
calculated density = 6.96 g/cm³
space-group type = I-4m2


Stability, lowest: d


## a
VASP calculation (PBE) on a geometry-optimized InP2Pb structure.

Geometry as POSCAR:
```
InP2Pb
1.0
3.213 0.000 0.000
0.000 3.213 0.000
0.000 0.000 9.261
In P Pb
1 2 1
Cartesian
1.607 1.607 7.277
1.607 1.607 0.822
0.000 0.000 1.462
0.000 0.000 4.331
```

Results
crystal system = tetragonal
calculated density = 6.67 g/cm³
space-group type = P4mm


## b
VASP calculation (PBE) on a geometry-optimized InP2Pb structure.

Geometry as POSCAR:
```
InP2Pb
1.0
4.999 0.000 0.000
2.500 4.329 0.000
2.500 1.443 4.082
Pb P In
1 2 1
Cartesian
2.500 1.443 1.020
0.000 0.000 0.000
7.499 4.329 3.061
4.999 2.886 2.041
```

Results
crystal system = cubic
calculated density = 7.22 g/cm³
space-group type = F-43m


Stability, lowest: b


## a
VASP calculation (PBE) on a geometry-optimized InP2Pb structure.

Geometry as POSCAR:
```
InP2Pb
1.0
5.946 -0.053 0.017
2.476 5.407 -0.017
-3.409 -3.938 2.869
Pb In P
1 1 2
Cartesian
4.337 2.757 0.000
1.418 1.933 1.426
3.840 -0.361 1.443
8.050 5.118 0.000
```

Results
crystal system = orthorhombic
calculated density = 6.90 g/cm³
space-group type = Imm2


## b
VASP calculation (PBE) on a geometry-optimized InP2Pb structure.

Geometry as POSCAR:
```
InP2Pb
1.0
4.483 -0.020 0.029
3.273 3.063 0.029
2.278 0.894 7.213
In P Pb
1 2 1
Cartesian
2.625 1.030 1.464
6.950 2.727 5.669
2.814 1.104 7.114
4.940 1.939 3.874
```

Results
crystal system = monoclinic
calculated density = 6.42 g/cm³
space-group type = Cm


## c
VASP calculation (PBE) on a geometry-optimized InP2Pb structure.

Geometry as POSCAR:
```
InP2Pb
1.0
-6.115 6.631 -2.748
-7.243 3.962 -4.556
-8.247 4.379 -1.319
Pb In P
1 1 2
Cartesian
-10.992 7.618 -4.387
-15.932 11.041 -6.359
-5.873 4.070 -2.344
-21.214 14.702 -8.467
```

Results
crystal system = trigonal
calculated density = 6.85 g/cm³
space-group type = R3m


## d
VASP calculation (PBE) on a geometry-optimized InP2Pb structure.

Geometry as POSCAR:
```
InP2Pb
1.0
3.908 0.015 0.000
-0.016 3.908 0.000
0.000 0.000 6.208
P Pb In
2 1 1
Cartesian
0.000 0.000 3.545
0.000 0.000 5.767
1.946 1.962 1.552
1.946 1.962 4.656
```

Results
crystal system = tetragonal
calculated density = 6.72 g/cm³
space-group type = P4/mmm


Stability, lowest: d